1.
SrAc2PuO8 | PBE | relaxed

extended XYZ file:
```
12
Lattice="4.3431 -0.2915 -0.0020 -0.2877 5.6559 -0.0060 0.0042 0.0086 7.9554" Properties=species:S:1:pos:R:3 pbc="T T T"
Sr 0.0021 0.0043 3.9777
Ac 2.0308 2.6887 5.9820
Ac 2.0287 2.6843 1.9654
Pu 0.0000 0.0000 0.0000
O 0.0190 4.3596 1.5531
O 2.3479 4.3425 -0.0059
O 4.0380 1.0080 1.5546
O 4.0406 1.0133 6.3944
O 1.7074 1.0219 -0.0020
O 0.0216 4.3649 6.3929
O 1.9551 4.0471 3.9723
O 2.1044 1.3259 3.9751
```

Calculated values
space group = P2/m (10)
formation energy without anion corrections = -2752 meV/atom

=====

2.
CaMgBr2 | PBE | relaxed

extended XYZ file:
```
4
Lattice="8.3103 8.2000 0.6765 10.6634 4.7883 0.3515 9.1506 6.6036 -3.0689" Properties=species:S:1:pos:R:3 pbc="T T T"
Ca 14.0621 9.7959 -1.0205
Mg 0.0000 0.0000 0.0000
Br 24.7701 17.2554 -1.7976
Br 3.3541 2.3365 -0.2434
```

Calculated values
space group = R-3m (166)
formation energy without anion corrections = -1235 meV/atom

=====

3.
LiMgNb | PBE | relaxed

extended XYZ file:
```
12
Lattice="-7.1489 -0.6541 3.3172 -1.6012 -3.5558 -4.1519 1.4731 -3.5524 2.4743" Properties=species:S:1:pos:R:3 pbc="T T T"
Nb -1.3140 -4.6592 2.5433
Nb -1.6524 -4.5513 -1.3260
Nb -5.9630 -3.1031 -0.9038
Nb -5.6245 -3.2111 2.9655
Mg 0.0000 0.0000 0.0000
Mg -3.6385 -3.8812 0.8198
Mg -2.8379 -2.1033 2.8957
Mg -0.8006 -1.7779 -2.0760
Li -5.1692 -1.3261 1.1755
Li -6.4181 -4.9886 0.8865
Li -2.1077 -6.4363 0.4640
Li -0.8588 -2.7737 0.7530
```

Calculated values
E_form = 595 meV/atom
space group = Cmcm (63)

=====

4.
NaAsF6 | PBE | relaxed

extended XYZ file:
```
8
Lattice="5.9952 0.0494 -0.0565 0.0738 4.5589 2.5895 -0.0374 -0.0268 5.2433" Properties=species:S:1:pos:R:3 pbc="T T T"
Na 2.9984 0.1188 0.1344
As 0.0008 0.0940 0.1625
F 5.0154 3.4653 3.4162
F 1.0178 1.3042 4.6852
F 1.0705 0.0962 1.5837
F 1.1344 3.4176 2.0345
F 4.8888 0.1145 3.9282
F 4.9362 1.3788 0.8236
```

Calculated values
space group = C2/m (12)
formation energy without anion corrections = -2300 meV/atom

=====

5.
NaWS2Cl | PBE | relaxed

extended XYZ file:
```
5
Lattice="-1.4247 -0.3033 -4.4367 -4.3723 -0.7550 1.4557 -0.8878 5.0282 -0.0587" Properties=species:S:1:pos:R:3 pbc="T T T"
Na -3.3424 1.9849 -1.5198
S -2.1861 -0.3775 0.7278
S -0.7124 -0.1517 -2.2183
W 0.0000 0.0000 0.0000
Cl -0.4439 2.5141 -0.0293
```

Calculated values
space group = P4/mmm (123)
formation energy without anion corrections = -517 meV/atom

=====

6.
Ho3Er3Zr | PBE | relaxed

extended XYZ file:
```
14
Lattice="5.7570 0.0001 1.8502 2.5813 5.1459 1.8501 -1.3084 -0.8078 13.9540" Properties=species:S:1:pos:R:3 pbc="T T T"
Ho 2.8697 4.1462 7.5014
Ho 3.0861 0.7059 6.8887
Ho 5.8637 2.4419 8.1256
Ho 1.1663 1.8963 9.5287
Ho 3.9439 3.6324 10.7656
Ho 4.1603 0.1920 10.1529
Er 5.8645 1.2563 4.8233
Er 5.6545 4.6787 5.4345
Er 2.8885 2.9564 4.2040
Er 4.1415 1.3819 13.4502
Er 1.3755 -0.3405 12.2198
Er 1.1654 3.0819 12.8310
Zr 5.5586 3.4305 2.4676
Zr 1.4713 0.9077 15.1867
```

Calculated values
E_form = 196 meV/atom
space group = R-3 (148)

=====

Please write out number 5 again, unchanged.
NaWS2Cl | PBE | relaxed

extended XYZ file:
```
5
Lattice="-1.4247 -0.3033 -4.4367 -4.3723 -0.7550 1.4557 -0.8878 5.0282 -0.0587" Properties=species:S:1:pos:R:3 pbc="T T T"
Na -3.3424 1.9849 -1.5198
S -2.1861 -0.3775 0.7278
S -0.7124 -0.1517 -2.2183
W 0.0000 0.0000 0.0000
Cl -0.4439 2.5141 -0.0293
```

Calculated values
space group = P4/mmm (123)
formation energy without anion corrections = -517 meV/atom